DFT (GGA-PBE) results for crystalline AcSmThSn at its relaxed geometry.

a b c (Å): 5.6502 5.6502 5.6502
angles (deg): 60.00 60.00 60.00
Last column: nearest neighbours and their distance in Å.
Fractional positions:
Ac 0.0000 0.0000 0.0000  4 Th 3.46, 4 Sm 3.46
Sm 0.2500 0.2500 0.2500  4 Sn 3.46, 4 Ac 3.46
Th 0.7500 0.7500 0.7500  4 Sn 3.46, 4 Ac 3.46
Sn 0.5000 0.5000 0.5000  4 Th 3.46, 4 Sm 3.46

Summary:
* spin magnetization: 0.00 μB per cell
* calculated formation energy: -0.112 eV/atom